{"formula": "La9Tm2Sc", "functional": "PBE-GGA", "state": "relaxed", "lattice_angstrom": [[5.1571, 0.0000, 0.0000], [0.0000, 5.1571, 0.0000], [0.0000, 0.0000, 15.4811]], "species": ["La", "La", "La", "La", "La", "La", "La", "La", "La", "Tm", "Tm", "Sc"], "fractional_positions": [[0.0000, 0.0000, 0.0000], [0.0000, 0.0000, 0.3323], [0.0000, 0.0000, 0.6677], [0.0000, 0.5000, 0.1637], [0.0000, 0.5000, 0.5000], [0.0000, 0.5000, 0.8363], [0.5000, 0.0000, 0.1637], [0.5000, 0.0000, 0.5000], [0.5000, 0.0000, 0.8363], [0.5000, 0.5000, 0.3316], [0.5000, 0.5000, 0.6684], [0.5000, 0.5000, 0.0000]], "formation_energy_ev_per_atom": 0.02}



{"formula": "LaTm2Sc", "functional": "PBE-GGA", "state": "relaxed", "lattice_angstrom": [[3.5406, 0.0000, 0.0000], [-1.7703, 3.0662, 0.0000], [0.0000, 0.0000, 11.2271]], "species": ["La", "Tm", "Tm", "Sc"], "fractional_positions": [[0.0000, 0.0000, 0.0000], [0.3333, 0.6667, 0.2678], [0.3333, 0.6667, 0.7322], [0.0000, 0.0000, 0.5000]], "formation_energy_ev_per_atom": 0.05, "de_polymorph_mev_per_atom": 9}



{"formula": "LaTmSc2", "functional": "PBE-GGA", "state": "relaxed", "lattice_angstrom": [[1.7366, 1.0026, 10.9373], [-1.7366, 1.0026, 10.9373], [0.0000, -2.0052, 10.9373]], "species": ["La", "Tm", "Sc", "Sc"], "fractional_positions": [[0.0000, 0.0000, 0.0000], [0.8337, 0.8337, 0.8337], [0.4193, 0.4193, 0.4193], [0.5814, 0.5814, 0.5814]], "formation_energy_ev_per_atom": 0.06, "de_polymorph_mev_per_atom": 0}



{"formula": "LaTmSc2", "functional": "PBE-GGA", "state": "relaxed", "lattice_angstrom": [[3.8986, 0.0000, 0.0000], [0.0000, 3.8986, 0.0000], [0.0000, 0.0000, 7.6191]], "species": ["La", "Tm", "Sc", "Sc"], "fractional_positions": [[0.0000, 0.0000, 0.0000], [0.0000, 0.0000, 0.5000], [0.5000, 0.5000, 0.2656], [0.5000, 0.5000, 0.7344]], "formation_energy_ev_per_atom": 0.08, "de_polymorph_mev_per_atom": 19}



The evaluated V for the records listed, in turn: 34.3; 30.5; 28.6; 29.0 Å³ per atom.